Record 1
{"formula": "CaTaPb2", "functional": "PBE", "state": "optimized geometry", "lattice": [[2.182, -2.569, 0.000], [2.182, 2.569, 0.000], [0.000, 0.000, 8.970]], "species": ["Ca", "Ta", "Pb", "Pb"], "fractional_positions": [[0.000, 0.000, 0.000], [0.000, 0.000, 0.500], [0.500, 0.500, 0.272], [0.500, 0.500, 0.728]], "formation_energy_ev_per_atom": 0.18, "sg": "Cmmm (65)", "m_tot_mub_per_atom": 0.00}

Record 2
{"formula": "CoRe2Cl", "functional": "PBE", "state": "optimized geometry", "lattice": [[3.575, 0.000, 0.000], [0.000, 3.575, 0.000], [0.000, 0.000, 4.889]], "species": ["Co", "Re", "Re", "Cl"], "fractional_positions": [[0.000, 0.000, 0.000], [0.000, 0.500, 0.500], [0.500, 0.000, 0.500], [0.500, 0.500, 0.000]], "raw_formation_energy_ev_per_atom": 1.39, "relative_energy_ev_per_atom": 1.0258, "sg": "P4/mmm (123)", "m_tot_mub_per_atom": 0.27}

Which final energy belongs to each record? In order, -5.137, -7.069 eV per atom.